# Re2TcAg | Alexandria | GGA-PBEsol | relaxed
data_Re2TcAg
_chemical_formula_sum 'Re2 Tc1 Ag1'
_symmetry_space_group_name_H-M 'P 4 m m'
_symmetry_Int_Tables_number 99
_cell_length_a 3.137
_cell_length_b 3.137
_cell_length_c 6.199
_cell_angle_alpha 90.00
_cell_angle_beta 90.00
_cell_angle_gamma 90.00
loop_
_symmetry_equiv_pos_as_xyz
'x,y,z'
'-y,x,z'
'-x,-y,z'
'y,-x,z'
'-x,y,z'
'y,x,z'
'x,-y,z'
'-y,-x,z'
loop_
_atom_site_label
_atom_site_fract_x
_atom_site_fract_y
_atom_site_fract_z
Re1 0.000 0.000 0.000
Re2 0.500 0.500 0.242
Tc1 0.000 0.000 0.444
Ag1 0.500 0.500 0.722
# Distance to the lowest polymorph of the same formula, meV/atom: 166.4
# Total magnetic moment, μB per formula unit: 0.000
# DOS at the Fermi energy, states/eV/f.u.: 3.17